Arrangement one

An optimized crystal structure of ZrGaF3, computed with PBE.

Lattice parameters (Å, degrees): 4.3861 4.3861 4.3861 90.00 90.00 90.00
Each line ends with the local moment (μB).
Fractional positions:
Ga (0.5000, 0.5000, 0.5000)  0.14
Zr (0.0000, 0.0000, 0.0000)  0.92
F (0.0000, 0.5000, 0.0000)  0.02
F (0.0000, 0.0000, 0.5000)  0.01
F (0.5000, 0.0000, 0.0000)  0.02

Values from the calculation:
- DOS(E_F): 4.665 states/eV/cell


Arrangement two

An optimized crystal structure of ZrGaF3, computed with PBE.

Lattice parameters (Å, degrees): 4.3111 4.3111 4.3111 90.00 90.00 90.00
Each line ends with the local moment (μB).
Fractional positions:
Ga (0.0000, 0.0000, 0.0000)  -0.10
Zr (0.5000, 0.5000, 0.5000)  1.53
F (0.0000, 0.5000, 0.0000)  0.01
F (0.0000, 0.0000, 0.5000)  0.01
F (0.5000, 0.0000, 0.0000)  -0.01

Values from the calculation:
- DOS(E_F): 1.972 states/eV/cell


Energetically preferred structure: arrangement one | next structure: +890 meV per atom


Arrangement one

An optimized crystal structure of KGdF2, computed with PBE.

Lattice parameters (Å, degrees): 3.1307 3.1307 7.3954 90.00 90.00 90.00
Each line ends with the local moment (μB).
Fractional positions:
K (0.5000, 0.5000, 0.5000)  0.00
Gd (0.5000, 0.5000, 0.0000)  7.06
F (0.0000, 0.0000, 0.7209)  0.00
F (0.0000, 0.0000, 0.2791)  0.00

Values from the calculation:
- DOS(E_F): 3.736 states/eV/cell


Arrangement two

An optimized crystal structure of KGdF2, computed with PBE.

Lattice parameters (Å, degrees): 4.0777 4.0777 7.5447 74.32 74.32 60.00
Each line ends with the local moment (μB).
Fractional positions:
K (0.0000, 0.0000, 0.0000)  0.01
Gd (0.5000, 0.5000, 0.5000)  6.97
F (0.1399, 0.1399, 0.5803)  0.00
F (0.8601, 0.8601, 0.4197)  0.00

Values from the calculation:
- DOS(E_F): 4.006 states/eV/cell


Energetically preferred structure: arrangement two | next structure: +488 meV per atom